A relaxed structure of CaCr2Co, computed with PBE.

Lattice parameters (Å, degrees): 4.0784 4.0784 4.1168 90.00 90.00 90.00
With the nearest neighbours (Å) after each atom.
Fractional positions:
Ca  0.5000  0.0000  0.5000  4 Co 2.88, 8 Cr 2.90
Co  0.0000  0.5000  0.5000  4 Ca 2.88, 8 Cr 2.90
Cr  0.0000  0.0000  0.0000  4 Cr 2.88, 4 Co 2.90, 4 Ca 2.90
Cr  0.5000  0.5000  0.0000  4 Cr 2.88, 4 Co 2.90, 4 Ca 2.90

Values from the calculation:
E_form = 0.914 eV per atom
E_tot = -24.70 eV/cell
Polymorph energy (0 for the lowest one) = 0.470 eV/atom
Theoretical density = 4.9 g cm⁻³